(1)
# MoPd2Se6, relaxed, DFT GGA-PBE
data_MoPd2Se6
_cell_length_a 6.624
_cell_length_b 6.980
_cell_length_c 10.276
_cell_angle_alpha 90.00
_cell_angle_beta 115.07
_cell_angle_gamma 90.00
_space_group_name_H-M_alt 'P 1 21/c 1'
_space_group_IT_number 14
loop_
_space_group_symop_operation_xyz
'x,y,z'
'-x,-y,-z'
'-x,y+1/2,-z+1/2'
'x,-y+1/2,z+1/2'
loop_
_atom_site_label
_atom_site_fract_x
_atom_site_fract_y
_atom_site_fract_z
Mo1 0.000 0.000 0.000
Pd1 0.345 0.110 0.826
Se1 0.057 0.203 0.373
Se2 0.209 0.696 0.385
Se3 0.359 0.080 0.203
# - formation energy from raw total energies (eV/atom) = -0.16
# - theoretical density (g/cm3) = 6.04

(2)
# CoAgMo2, relaxed, DFT GGA-PBE
data_CoAgMo2
_cell_length_a 2.7347
_cell_length_b 2.7347
_cell_length_c 27.9273
_cell_angle_alpha 90.00
_cell_angle_beta 90.00
_cell_angle_gamma 120.00
_space_group_name_H-M_alt 'R -3 m'
_space_group_IT_number 166
_space_group_name_Hall '-R 3 2"'
loop_
_atom_site_label
_atom_site_fract_x
_atom_site_fract_y
_atom_site_fract_z
Co1 0.0000 0.0000 0.0000
Ag1 0.0000 0.0000 0.5000
Mo1 0.0000 0.0000 0.2578
# - formation enthalpy at 0 K (eV per atom) = 0.3946
# - energy above the most stable polymorph in this dataset (eV per formula unit) = 0.42
# - theoretical density (g/cm3) = 9.88

(3)
# CsGeCSe2, relaxed, DFT GGA-PBE
data_CsGeCSe2
_cell_length_a 5.261
_cell_length_b 5.261
_cell_length_c 4.340
_cell_angle_alpha 90.00
_cell_angle_beta 90.00
_cell_angle_gamma 90.00
_space_group_name_H-M_alt 'P 4/m m m'
_space_group_IT_number 123
_space_group_name_Hall '-P 4 2'
loop_
_atom_site_label
_atom_site_fract_x
_atom_site_fract_y
_atom_site_fract_z
Cs1 0.000 0.000 0.000
Ge1 0.500 0.500 0.000
C1 0.500 0.500 0.500
Se1 0.000 0.500 0.500
# - formation energy from raw total energies (eV/atom) = 0.75
# - theoretical density (g/cm3) = 5.19

(4)
# Pu8Te4PSe3, relaxed, DFT GGA-PBE
data_Pu8Te4PSe3
_cell_length_a 8.5136
_cell_length_b 8.5136
_cell_length_c 21.0901
_cell_angle_alpha 90.00
_cell_angle_beta 90.00
_cell_angle_gamma 120.00
_space_group_name_H-M_alt 'R -3 m'
_space_group_IT_number 166
_space_group_name_Hall '-R 3 2"'
loop_
_atom_site_label
_atom_site_fract_x
_atom_site_fract_y
_atom_site_fract_z
Pu1 0.0000 0.0000 0.2435
Pu2 0.0090 0.5045 0.2411
Te1 0.0000 0.0000 0.0000
Te2 0.0000 0.5000 0.0000
P1 0.0000 0.0000 0.5000
Se1 0.0000 0.5000 0.5000
# - formation energy from raw total energies (eV/atom) = -1.23
# - theoretical density (g/cm3) = 10.27